Entry from Alexandria: a geometry-optimized Ba2CdSn4Rh3 structure (GGA-PBE).

a = 4.7749 Å, b = 4.7749 Å, c = 10.9905 Å
α = 90.00°, β = 90.00°, γ = 90.00°
Element x y z (fractional)
Ba  0.5000  0.0000  0.2491
Ba  0.0000  0.5000  0.7509
Cd  0.5000  0.5000  0.5000
Sn  0.5000  0.5000  0.0000
Sn  0.0000  0.0000  0.0000
Sn  0.5000  0.0000  0.6373
Sn  0.0000  0.5000  0.3627
Rh  0.0000  0.0000  0.5000
Rh  0.5000  0.0000  0.8818
Rh  0.0000  0.5000  0.1182

Values from the calculation:
As for the calculated density: 7.76 Mg/m³. The raw total energy comes out at -47.889 eV/cell. For the formation energy, the calculation gives -506 meV/atom.